# Pr2DyMg5Cd2, relaxed, DFT PBE
data_Pr2DyMg5Cd2
_space_group_name_H-M_alt 'P 4/m b m'
_space_group_IT_number 127
_space_group_name_Hall '-P 4 2ab'
_cell_length_a 10.624
_cell_length_b 10.624
_cell_length_c 4.703
_cell_angle_alpha 90.00
_cell_angle_beta 90.00
_cell_angle_gamma 90.00
loop_
_atom_site_label
_atom_site_type_symbol
_atom_site_fract_x
_atom_site_fract_y
_atom_site_fract_z
Pr1 Pr 0.180 0.320 0.000
Dy1 Dy 0.000 0.000 0.000
Mg1 Mg 0.000 0.500 0.500
Mg2 Mg 0.059 0.789 0.500
Cd1 Cd 0.115 0.615 0.000
# - Final energy: -51.3 eV for the cell shown
# - Energy of formation from the pure elements: -0.1665 eV per atom
# - Total magnetic moment: 0.00 μB per cell

---

# Lu2MgSb, relaxed, DFT PBE
data_Lu2MgSb
_space_group_name_H-M_alt 'P 4/m m m'
_space_group_IT_number 123
_space_group_name_Hall '-P 4 2'
_cell_length_a 3.904
_cell_length_b 3.904
_cell_length_c 6.635
_cell_angle_alpha 90.00
_cell_angle_beta 90.00
_cell_angle_gamma 90.00
loop_
_atom_site_label
_atom_site_type_symbol
_atom_site_fract_x
_atom_site_fract_y
_atom_site_fract_z
Lu1 Lu 0.000 0.000 0.244
Mg1 Mg 0.500 0.500 0.500
Sb1 Sb 0.500 0.500 0.000
# - Uncorrected formation energy: -0.452 eV per atom
# - Final energy: -16.6 eV for the cell shown
# - Excess energy over the best structure of this formula in the dataset: 0 meV/atom
# - Total magnetic moment: 0.00 μB per cell

---

# TlSnPCl2, relaxed, DFT PBE
data_TlSnPCl2
_space_group_name_H-M_alt 'P 4/m m m'
_space_group_IT_number 123
_space_group_name_Hall '-P 4 2'
_cell_length_a 5.268
_cell_length_b 5.268
_cell_length_c 5.316
_cell_angle_alpha 90.00
_cell_angle_beta 90.00
_cell_angle_gamma 90.00
loop_
_atom_site_label
_atom_site_type_symbol
_atom_site_fract_x
_atom_site_fract_y
_atom_site_fract_z
Tl1 Tl 0.000 0.000 0.000
Sn1 Sn 0.500 0.500 0.500
P1 P 0.000 0.000 0.500
Cl1 Cl 0.000 0.500 0.000
# - Uncorrected formation energy: 0.163 eV per atom
# - Final energy: -14.7 eV for the cell shown
# - Excess energy over the best structure of this formula in the dataset: 418 meV/atom
# - Total magnetic moment: 0.14 μB per cell

---

# Mo2SeCl, relaxed, DFT PBE
data_Mo2SeCl
_space_group_name_H-M_alt 'C 1 m 1'
_space_group_IT_number 8
_cell_length_a 8.684
_cell_length_b 3.261
_cell_length_c 6.774
_cell_angle_alpha 90.00
_cell_angle_beta 98.17
_cell_angle_gamma 90.00
loop_
_space_group_symop_operation_xyz
'x,y,z'
'x,-y,z'
'x+1/2,y+1/2,z'
'x+1/2,-y+1/2,z'
loop_
_atom_site_label
_atom_site_type_symbol
_atom_site_fract_x
_atom_site_fract_y
_atom_site_fract_z
Mo1 Mo 0.000 0.000 0.000
Mo2 Mo 0.206 0.500 0.103
Se1 Se 0.251 0.000 0.815
Cl1 Cl 0.463 0.000 0.323
# - Uncorrected formation energy: 0.193 eV per atom
# - Final energy: -52.4 eV for the cell shown
# - Excess energy over the best structure of this formula in the dataset: 386 meV/atom
# - Total magnetic moment: 0.00 μB per cell

---

# TbScSi, relaxed, DFT PBE
data_TbScSi
_space_group_name_H-M_alt 'P 4/n m m'
_space_group_IT_number 129
_cell_length_a 4.212
_cell_length_b 4.212
_cell_length_c 7.756
_cell_angle_alpha 90.00
_cell_angle_beta 90.00
_cell_angle_gamma 90.00
loop_
_space_group_symop_operation_xyz
'x,y,z'
'-x,-y,-z'
'-y+1/2,x,z'
'y+1/2,-x,-z'
'-x+1/2,-y+1/2,z'
'x+1/2,y+1/2,-z'
'y,-x+1/2,z'
'-y,x+1/2,-z'
'x+1/2,-y,-z'
'-x+1/2,y,z'
'-y,-x,-z'
'y,x,z'
'-x,y+1/2,-z'
'x,-y+1/2,z'
'y+1/2,x+1/2,-z'
'-y+1/2,-x+1/2,z'
loop_
_atom_site_label
_atom_site_type_symbol
_atom_site_fract_x
_atom_site_fract_y
_atom_site_fract_z
Tb1 Tb 0.250 0.250 0.146
Sc1 Sc 0.250 0.750 0.500
Si1 Si 0.250 0.250 0.751
# - Uncorrected formation energy: -0.623 eV per atom
# - Final energy: -36.5 eV for the cell shown
# - Excess energy over the best structure of this formula in the dataset: 12 meV/atom
# - Total magnetic moment: 1.12 μB per cell

---

# SiNiRh2, relaxed, DFT PBE
data_SiNiRh2
_space_group_name_H-M_alt 'P 1 2/m 1'
_space_group_IT_number 10
_cell_length_a 2.795
_cell_length_b 3.632
_cell_length_c 5.278
_cell_angle_alpha 90.00
_cell_angle_beta 100.62
_cell_angle_gamma 90.00
loop_
_space_group_symop_operation_xyz
'x,y,z'
'-x,-y,-z'
'-x,y,-z'
'x,-y,z'
loop_
_atom_site_label
_atom_site_type_symbol
_atom_site_fract_x
_atom_site_fract_y
_atom_site_fract_z
Si1 Si 0.000 0.000 0.000
Ni1 Ni 0.000 0.000 0.500
Rh1 Rh 0.388 0.500 0.241
# - Uncorrected formation energy: -0.355 eV per atom
# - Final energy: -27.3 eV for the cell shown
# - Total magnetic moment: 0.78 μB per cell

---

# LiMg, relaxed, DFT PBE
data_LiMg
_space_group_name_H-M_alt 'P 63/m m c'
_space_group_IT_number 194
_space_group_name_Hall '-P 6c 2c'
_cell_length_a 3.1116
_cell_length_b 3.1116
_cell_length_c 10.0801
_cell_angle_alpha 90.00
_cell_angle_beta 90.00
_cell_angle_gamma 120.00
loop_
_atom_site_label
_atom_site_type_symbol
_atom_site_fract_x
_atom_site_fract_y
_atom_site_fract_z
Li1 Li 0.3333 0.6667 0.2500
Mg1 Mg 0.0000 0.0000 0.0000
# - Final energy: -7.1 eV for the cell shown
# - Energy of formation from the pure elements: -0.0276 eV per atom
# - Total magnetic moment: 0.00 μB per cell

---

# InTe2F, relaxed, DFT PBE
data_InTe2F
_space_group_name_H-M_alt 'R -3 m'
_space_group_IT_number 166
_space_group_name_Hall '-R 3 2"'
_cell_length_a 3.6284
_cell_length_b 3.6284
_cell_length_c 27.5421
_cell_angle_alpha 90.00
_cell_angle_beta 90.00
_cell_angle_gamma 120.00
loop_
_atom_site_label
_atom_site_type_symbol
_atom_site_fract_x
_atom_site_fract_y
_atom_site_fract_z
In1 In 0.0000 0.0000 0.0000
Te1 Te 0.0000 0.0000 0.4162
F1 F 0.0000 0.0000 0.5000
# - Uncorrected formation energy: -0.391 eV per atom
# - Final energy: -37.4 eV for the cell shown
# - Excess energy over the best structure of this formula in the dataset: 2 meV/atom
# - Total magnetic moment: 0.00 μB per cell

---

# CsU4Ag3Te12, relaxed, DFT PBE
data_CsU4Ag3Te12
_space_group_name_H-M_alt 'I m -3'
_space_group_IT_number 204
_space_group_name_Hall '-I 2 2 3'
_cell_length_a 11.179
_cell_length_b 11.179
_cell_length_c 11.179
_cell_angle_alpha 90.00
_cell_angle_beta 90.00
_cell_angle_gamma 90.00
loop_
_atom_site_label
_atom_site_type_symbol
_atom_site_fract_x
_atom_site_fract_y
_atom_site_fract_z
Cs1 Cs 0.000 0.000 0.000
U1 U 0.250 0.250 0.250
Ag1 Ag 0.000 0.000 0.500
Te1 Te 0.000 0.312 0.179
# - Uncorrected formation energy: -0.390 eV per atom
# - Final energy: -200.1 eV for the cell shown
# - Total magnetic moment: 7.73 μB per cell

---

# Rb3Mg2CdH9, relaxed, DFT PBE
data_Rb3Mg2CdH9
_space_group_name_H-M_alt 'P -3 m 1'
_space_group_IT_number 164
_space_group_name_Hall '-P 3 2"'
_cell_length_a 5.8476
_cell_length_b 5.8476
_cell_length_c 7.1644
_cell_angle_alpha 90.00
_cell_angle_beta 90.00
_cell_angle_gamma 120.00
loop_
_atom_site_label
_atom_site_type_symbol
_atom_site_fract_x
_atom_site_fract_y
_atom_site_fract_z
Rb1 Rb 0.0000 0.0000 0.0000
Rb2 Rb 0.3333 0.6667 0.6650
Mg1 Mg 0.3333 0.6667 0.1618
Cd1 Cd 0.0000 0.0000 0.5000
H1 H 0.0000 0.5000 0.0000
H2 H 0.1690 0.3379 0.3297
# - Final energy: -39.6 eV for the cell shown
# - Total magnetic moment: 0.00 μB per cell

---

# Fe2AgGe2, relaxed, DFT PBE
data_Fe2AgGe2
_space_group_name_H-M_alt 'P 4/m b m'
_space_group_IT_number 127
_space_group_name_Hall '-P 4 2ab'
_cell_length_a 7.069
_cell_length_b 7.069
_cell_length_c 2.725
_cell_angle_alpha 90.00
_cell_angle_beta 90.00
_cell_angle_gamma 90.00
loop_
_atom_site_label
_atom_site_type_symbol
_atom_site_fract_x
_atom_site_fract_y
_atom_site_fract_z
Fe1 Fe 0.144 0.356 0.000
Ag1 Ag 0.000 0.000 0.500
Ge1 Ge 0.149 0.649 0.500
# - Final energy: -56.9 eV for the cell shown
# - Excess energy over the best structure of this formula in the dataset: 0 meV/atom
# - Energy of formation from the pure elements: 0.1075 eV per atom
# - Total magnetic moment: 3.22 μB per cell

---

# CoTc2Rh, relaxed, DFT PBE
data_CoTc2Rh
_space_group_name_H-M_alt 'I 4/m m m'
_space_group_IT_number 139
_space_group_name_Hall '-I 4 2'
_cell_length_a 3.717
_cell_length_b 3.717
_cell_length_c 7.764
_cell_angle_alpha 90.00
_cell_angle_beta 90.00
_cell_angle_gamma 90.00
loop_
_atom_site_label
_atom_site_type_symbol
_atom_site_fract_x
_atom_site_fract_y
_atom_site_fract_z
Co1 Co 0.000 0.000 0.000
Tc1 Tc 0.000 0.500 0.250
Rh1 Rh 0.000 0.000 0.500
# - Final energy: -70.3 eV for the cell shown
# - Excess energy over the best structure of this formula in the dataset: 94 meV/atom
# - Energy of formation from the pure elements: 0.0144 eV per atom
# - Total magnetic moment: 0.00 μB per cell